Entry from Alexandria via LeMat-Bulk: a geometry-optimized CeHfUN3 structure (PBE).

Structure (CIF):
```
data_CeHfUN3
_space_group_name_H-M_alt 'P 1'
_space_group_IT_number 1
_cell_length_a 3.337
_cell_length_b 5.691
_cell_length_c 9.079
_cell_angle_alpha 100.97
_cell_angle_beta 90.00
_cell_angle_gamma 90.00
loop_
_space_group_symop_operation_xyz
'x,y,z'
loop_
_atom_site_label
_atom_site_fract_x
_atom_site_fract_y
_atom_site_fract_z
N1 0.250 0.969 0.860
Ce1 0.250 0.352 0.308
U1 0.250 0.139 0.656
Hf1 0.250 0.759 0.037
N2 0.750 0.031 0.140
N3 0.250 0.447 0.858
N4 0.750 0.553 0.142
N5 0.250 0.760 0.502
U2 0.750 0.861 0.344
N6 0.750 0.240 0.498
Ce2 0.750 0.648 0.692
Hf2 0.750 0.241 0.963
```

Computed properties:
E, eV/atom: -10.05
Magnetization, μB/f.u.: 0.00
Calculated density, Mg/m³: 11.75
N(E_F), states/eV/f.u.: 6.91
Formation energy from raw total energies, kJ per mole of atoms: -131.4

Entry from Alexandria via LeMat-Bulk: a geometry-optimized SrIn2Br structure (PBE).

Structure (CIF):
```
data_SrIn2Br
_space_group_name_H-M_alt 'P 1'
_space_group_IT_number 1
_cell_length_a 4.115
_cell_length_b 3.853
_cell_length_c 8.572
_cell_angle_alpha 90.00
_cell_angle_beta 90.00
_cell_angle_gamma 90.00
loop_
_space_group_symop_operation_xyz
'x,y,z'
loop_
_atom_site_label
_atom_site_fract_x
_atom_site_fract_y
_atom_site_fract_z
In1 0.000 0.000 0.074
Br1 0.500 0.500 0.683
Sr1 0.000 0.000 0.513
In2 0.500 0.500 0.230
```

Computed properties:
Offset from the most stable computed form, eV per atom: 0.0000
E, eV/atom: -2.91
Magnetization, μB/f.u.: 0.00
Calculated density, Mg/m³: 4.85
N(E_F), states/eV/f.u.: 1.56
Formation energy from raw total energies, kJ per mole of atoms: -67.3

Entry from Alexandria via LeMat-Bulk: a geometry-optimized ZrAg3Bi structure (PBE).

Structure (CIF):
```
data_ZrAg3Bi
_space_group_name_H-M_alt 'P 1'
_space_group_IT_number 1
_cell_length_a 5.254
_cell_length_b 5.254
_cell_length_c 5.254
_cell_angle_alpha 90.00
_cell_angle_beta 90.00
_cell_angle_gamma 90.00
loop_
_space_group_symop_operation_xyz
'x,y,z'
loop_
_atom_site_label
_atom_site_fract_x
_atom_site_fract_y
_atom_site_fract_z
Ag1 0.000 0.500 0.000
Bi1 0.500 0.500 0.500
Zr1 0.000 0.000 0.000
Ag2 0.000 0.000 0.500
Ag3 0.500 0.000 0.000
```

Computed properties:
Offset from the most stable computed form, eV per atom: 0.0582
E, eV/atom: -3.13
Magnetization, μB/f.u.: 1.02
Calculated density, Mg/m³: 7.14
N(E_F), states/eV/f.u.: 4.49
Formation energy from the elements, eV/atom: 1.07

Entry from Alexandria via LeMat-Bulk: a geometry-optimized LiPmLu2 structure (PBE).

Structure (CIF):
```
data_LiPmLu2
_space_group_name_H-M_alt 'P 1'
_space_group_IT_number 1
_cell_length_a 3.705
_cell_length_b 5.564
_cell_length_c 5.564
_cell_angle_alpha 90.00
_cell_angle_beta 90.00
_cell_angle_gamma 90.00
loop_
_space_group_symop_operation_xyz
'x,y,z'
loop_
_atom_site_label
_atom_site_fract_x
_atom_site_fract_y
_atom_site_fract_z
Li1 0.500 0.000 0.000
Pm1 0.500 0.500 0.500
Lu1 0.000 0.000 0.500
Lu2 0.000 0.500 0.000
```

Computed properties:
Offset from the most stable computed form, eV per atom: 0.1147
E, eV/atom: -3.72
Magnetization, μB/f.u.: 0.01
Calculated density, Mg/m³: 7.27
N(E_F), states/eV/f.u.: 5.76
Formation energy from the elements, eV/atom: 0.20

Entry from Alexandria via LeMat-Bulk: a geometry-optimized NpReIr structure (PBE).

Structure (CIF):
```
data_NpReIr
_space_group_name_H-M_alt 'P 1'
_space_group_IT_number 1
_cell_length_a 8.010
_cell_length_b 2.869
_cell_length_c 30.327
_cell_angle_alpha 101.96
_cell_angle_beta 168.16
_cell_angle_gamma 85.83
loop_
_space_group_symop_operation_xyz
'x,y,z'
loop_
_atom_site_label
_atom_site_fract_x
_atom_site_fract_y
_atom_site_fract_z
Re1 0.735 0.002 0.674
Ir1 0.464 0.884 0.281
Re2 0.265 0.998 0.326
Ir2 0.536 0.116 0.719
Np1 0.359 0.211 0.165
Np2 0.641 0.789 0.835
```

Computed properties:
E, eV/atom: -11.34
Magnetization, μB/f.u.: 2.82
Calculated density, Mg/m³: 19.17
N(E_F), states/eV/f.u.: 5.62
Formation energy from the elements, eV/atom: 0.07

Entry from Alexandria via LeMat-Bulk: a geometry-optimized LaErOs4 structure (PBE).

Structure (CIF):
```
data_LaErOs4
_space_group_name_H-M_alt 'P 1'
_space_group_IT_number 1
_cell_length_a 5.413
_cell_length_b 5.413
_cell_length_c 5.413
_cell_angle_alpha 60.00
_cell_angle_beta 60.00
_cell_angle_gamma 60.00
loop_
_space_group_symop_operation_xyz
'x,y,z'
loop_
_atom_site_label
_atom_site_fract_x
_atom_site_fract_y
_atom_site_fract_z
Os1 0.625 0.124 0.625
Os2 0.124 0.625 0.625
Er1 0.000 0.000 0.000
Os3 0.625 0.625 0.625
Os4 0.625 0.625 0.124
La1 0.250 0.250 0.250
```

Computed properties:
E, eV/atom: -9.21
Magnetization, μB/f.u.: 0.00
Calculated density, Mg/m³: 15.80
N(E_F), states/eV/f.u.: 6.45
Formation energy from the elements, eV/atom: -0.14

Entry from Alexandria via LeMat-Bulk: a geometry-optimized Si2HPb structure (PBE).

Structure (CIF):
```
data_Si2HPb
_space_group_name_H-M_alt 'P 1'
_space_group_IT_number 1
_cell_length_a 4.697
_cell_length_b 4.697
_cell_length_c 4.697
_cell_angle_alpha 60.00
_cell_angle_beta 60.00
_cell_angle_gamma 60.00
loop_
_space_group_symop_operation_xyz
'x,y,z'
loop_
_atom_site_label
_atom_site_fract_x
_atom_site_fract_y
_atom_site_fract_z
Si1 0.250 0.250 0.250
H1 0.000 0.000 0.000
Si2 0.750 0.750 0.750
Pb1 0.500 0.500 0.500
```

Computed properties:
Offset from the most stable computed form, eV per atom: 0.4258
E, eV/atom: -3.46
Magnetization, μB/f.u.: 0.00
Calculated density, Mg/m³: 5.99
N(E_F), states/eV/f.u.: 2.07

Entry from Alexandria via LeMat-Bulk: a geometry-optimized Mg2AlCl structure (PBE).

Structure (CIF):
```
data_Mg2AlCl
_space_group_name_H-M_alt 'P 1'
_space_group_IT_number 1
_cell_length_a 3.331
_cell_length_b 3.448
_cell_length_c 7.541
_cell_angle_alpha 90.04
_cell_angle_beta 90.00
_cell_angle_gamma 90.00
loop_
_space_group_symop_operation_xyz
'x,y,z'
loop_
_atom_site_label
_atom_site_fract_x
_atom_site_fract_y
_atom_site_fract_z
Mg1 0.000 0.749 0.025
Al1 0.500 0.250 0.250
Mg2 0.000 0.751 0.475
Cl1 0.500 0.750 0.750
```

Computed properties:
Offset from the most stable computed form, eV per atom: 0.0000
E, eV/atom: -2.69
Magnetization, μB/f.u.: 0.00
Calculated density, Mg/m³: 2.13
N(E_F), states/eV/f.u.: 0.33
Formation energy from raw total energies, kJ per mole of atoms: -48.0

Entry from Alexandria via LeMat-Bulk: a geometry-optimized FeRe2Pt structure (PBE).

Structure (CIF):
```
data_FeRe2Pt
_space_group_name_H-M_alt 'P 1'
_space_group_IT_number 1
_cell_length_a 4.179
_cell_length_b 2.663
_cell_length_c 5.293
_cell_angle_alpha 75.43
_cell_angle_beta 90.00
_cell_angle_gamma 90.00
loop_
_space_group_symop_operation_xyz
'x,y,z'
loop_
_atom_site_label
_atom_site_fract_x
_atom_site_fract_y
_atom_site_fract_z
Pt1 0.500 0.563 0.749
Fe1 0.000 0.697 0.480
Re1 0.000 0.939 0.997
Re2 0.500 0.300 0.274
```

Computed properties:
Offset from the most stable computed form, eV per atom: 0.0429
E, eV/atom: -9.83
Magnetization, μB/f.u.: 1.66
Calculated density, Mg/m³: 18.16
N(E_F), states/eV/f.u.: 3.51
Formation energy from the elements, eV/atom: 0.02

Entry from Alexandria via LeMat-Bulk: a geometry-optimized LuMgSnRh structure (PBE).

Structure (CIF):
```
data_LuMgSnRh
_space_group_name_H-M_alt 'P 1'
_space_group_IT_number 1
_cell_length_a 4.762
_cell_length_b 4.762
_cell_length_c 4.762
_cell_angle_alpha 60.00
_cell_angle_beta 60.00
_cell_angle_gamma 60.00
loop_
_space_group_symop_operation_xyz
'x,y,z'
loop_
_atom_site_label
_atom_site_fract_x
_atom_site_fract_y
_atom_site_fract_z
Mg1 0.750 0.750 0.750
Sn1 0.500 0.500 0.500
Lu1 0.000 0.000 0.000
Rh1 0.250 0.250 0.250
```

Computed properties:
E, eV/atom: -4.91
Magnetization, μB/f.u.: 0.00
Calculated density, Mg/m³: 9.15
N(E_F), states/eV/f.u.: 0.46
Formation energy from the elements, eV/atom: -0.54